A plane-wave DFT calculation with PBEsol was carried out for a relaxed structure of AlTePb2.

The magnetization comes out at 0.000 μB per atom. The value obtained for the electronic total energy is -3.720 eV/atom. The energy relative to the elements, uncorrected is 0.184 eV per atom. Its space group is R-3m (166).

a = 11.645 Å, b = 11.645 Å, c = 11.645 Å
α = 16.24°, β = 16.24°, γ = 16.24°
Sites, in units of the cell vectors:
Al 0.000 0.000 0.000
Te 0.500 0.500 0.500
Pb 0.259 0.259 0.259
Pb 0.741 0.741 0.741